Entry 1:
Entry from Alexandria: a PBEsol-optimized structure of ZnGaCu2B (SCAN).

Cell lengths 4.045, 4.045, 3.943 Å; angles 90.00, 90.00, 90.00 degrees
Fractional coordinates of all 5 atoms:
Zn 0.000 0.000 0.000
Ga 0.500 0.500 0.000
Cu 0.000 0.500 0.500
Cu 0.500 0.000 0.500
B 0.500 0.500 0.500

Volume: 65 Å³/cell
Total magnetization: 0.00 μB/cell
Crystal system: tetragonal
Uncorrected energy: -65.988 eV for the cell shown
ΔE_f: 340 meV/atom

---

Entry 2:
Entry from Alexandria: a PBEsol-optimized structure of La4Pt (SCAN).

Cell lengths 6.606, 6.606, 6.606 Å; angles 94.52, 94.52, 147.38 degrees
Fractional coordinates of all 5 atoms:
La 0.079 0.736 0.815
La 0.264 0.079 0.344
La 0.736 0.921 0.656
La 0.921 0.264 0.185
Pt 0.500 0.500 0.000

Volume: 149 Å³/cell
Total magnetization: 0.00 μB/cell
Crystal system: tetragonal
Uncorrected energy: -245.249 eV for the cell shown
ΔE_f: -527 meV/atom

---

Entry 3:
Entry from Alexandria: a PBEsol-optimized structure of K2TlTc (SCAN).

Cell lengths 2.933, 5.747, 5.803 Å; angles 90.00, 90.00, 90.00 degrees
Fractional coordinates of all 4 atoms:
K 0.000 0.000 0.243
K 0.000 0.000 0.757
Tl 0.500 0.500 0.500
Tc 0.500 0.500 0.000

Volume: 98 Å³/cell
Distance to the lowest polymorph of the same formula: 0.59 eV per formula unit
Total magnetization: 0.00 μB/cell
Crystal system: orthorhombic
Uncorrected energy: -120.180 eV for the cell shown
ΔE_f: 974 meV/atom

---

Entry 4:
Entry from Alexandria: a PBEsol-optimized structure of Li3Sb2P3O12 (SCAN).

Cell lengths 8.386, 8.386, 8.407 Å; angles 112.90, 112.90, 68.32 degrees
Fractional coordinates of all 40 atoms:
Li 0.000 0.500 0.500
Li 0.138 0.231 0.130
Li 0.231 0.138 0.630
Li 0.500 0.000 0.000
Li 0.769 0.862 0.370
Li 0.862 0.769 0.870
Sb 0.163 0.648 0.342
Sb 0.352 0.837 0.158
Sb 0.648 0.163 0.842
Sb 0.837 0.352 0.658
P 0.097 0.903 0.750
P 0.246 0.407 0.922
P 0.407 0.246 0.422
P 0.593 0.754 0.578
P 0.754 0.593 0.078
P 0.903 0.097 0.250
O 0.059 0.079 0.189
O 0.079 0.059 0.689
O 0.102 0.398 0.732
O 0.109 0.725 0.589
O 0.172 0.398 0.056
O 0.229 0.401 0.391
O 0.275 0.891 0.911
O 0.312 0.572 0.980
O 0.398 0.102 0.232
O 0.398 0.172 0.556
O 0.401 0.229 0.891
O 0.428 0.688 0.520
O 0.572 0.312 0.480
O 0.599 0.771 0.109
O 0.602 0.828 0.444
O 0.602 0.898 0.768
O 0.688 0.428 0.020
O 0.725 0.109 0.089
O 0.771 0.599 0.609
O 0.828 0.602 0.944
O 0.891 0.275 0.411
O 0.898 0.602 0.268
O 0.921 0.941 0.311
O 0.941 0.921 0.811

E_form (uncorrected): -2223.1 meV per atom
Volume: 485 Å³/cell
Distance to the lowest polymorph of the same formula: 0.00 eV per formula unit
Total magnetization: 0.00 μB/cell
Crystal system: monoclinic
Uncorrected energy: -464.247 eV for the cell shown

---

Entry 5:
Entry from Alexandria: a PBEsol-optimized structure of InPBrCl2 (SCAN).

Cell lengths 5.716, 5.716, 4.576 Å; angles 90.00, 90.00, 90.00 degrees
Fractional coordinates of all 5 atoms:
In 0.000 0.000 0.000
P 0.500 0.500 0.000
Br 0.500 0.500 0.500
Cl 0.000 0.500 0.500
Cl 0.500 0.000 0.500

E_form (uncorrected): 403.1 meV per atom
Volume: 150 Å³/cell
Total magnetization: 0.01 μB/cell
Crystal system: tetragonal
Uncorrected energy: -77.185 eV for the cell shown

---

Entry 6:
Entry from Alexandria: a PBEsol-optimized structure of AgSbMo (SCAN).

Cell lengths 5.313, 5.313, 5.313 Å; angles 142.97, 142.97, 53.37 degrees
Fractional coordinates of all 3 atoms:
Ag 0.000 0.000 0.000
Sb 0.321 0.321 0.000
Mo 0.674 0.674 0.000

E_form (uncorrected): 538.1 meV per atom
Volume: 54 Å³/cell
Total magnetization: 0.00 μB/cell
Crystal system: tetragonal
Uncorrected energy: -101.899 eV for the cell shown

---

Entry 7:
Entry from Alexandria: a PBEsol-optimized structure of Cd3RhN (SCAN).

Cell lengths 4.400, 4.400, 4.400 Å; angles 90.00, 90.00, 90.00 degrees
Fractional coordinates of all 5 atoms:
Cd 0.000 0.000 0.500
Cd 0.000 0.500 0.000
Cd 0.500 0.000 0.000
Rh 0.500 0.500 0.500
N 0.000 0.000 0.000

E_form (uncorrected): 568.5 meV per atom
Volume: 85 Å³/cell
Total magnetization: 0.00 μB/cell
Crystal system: cubic
Uncorrected energy: -131.463 eV for the cell shown

---

Entry 8:
Entry from Alexandria: a PBEsol-optimized structure of RbSbCl2 (SCAN).

Cell lengths 10.613, 10.613, 10.613 Å; angles 19.36, 19.36, 19.36 degrees
Fractional coordinates of all 4 atoms:
Rb 0.000 0.000 0.000
Sb 0.500 0.500 0.500
Cl 0.093 0.093 0.093
Cl 0.907 0.907 0.907

E_form (uncorrected): -527.1 meV per atom
Volume: 115 Å³/cell
Total magnetization: 0.00 μB/cell
Crystal system: trigonal
Uncorrected energy: -76.064 eV for the cell shown